(1)
Density functional theory data (PBE) for crystalline Cs2UGaSe5 at its relaxed geometry.

Properties
Space group: Cmc2_1 (36)
Uncorrected formation energy, eV per atom: -1.0451
DOS at the Fermi energy, states/eV per cell: 12.77
E, eV per atom: -4.761

Cell lengths 10.6747, 10.6747, 15.3594 Å; angles 90.00, 90.00, 157.24 degrees
Fractional positions:
Cs1 0.1250 0.8750 0.5000
Cs2 0.1257 0.8743 0.8607
Cs3 0.8743 0.1257 0.3607
Cs4 0.8750 0.1250 0.0000
U1 0.1975 0.8025 0.1958
U2 0.8025 0.1975 0.6958
Ga1 0.4295 0.5705 0.5961
Ga2 0.5705 0.4295 0.0961
Se1 0.0609 0.9391 0.1936
Se2 0.3051 0.6949 0.8132
Se3 0.3104 0.6896 0.5691
Se4 0.3206 0.6794 0.1809
Se5 0.4889 0.5111 0.4701
Se6 0.5111 0.4889 0.9701
Se7 0.6794 0.3206 0.6809
Se8 0.6896 0.3104 0.0691
Se9 0.6949 0.3051 0.3132
Se10 0.9391 0.0609 0.6936



(2)
Density functional theory data (PBE) for crystalline K2MnSnH6 at its relaxed geometry.

Properties
Space group: C2/m (12)
DOS at the Fermi energy, states/eV per cell: 4.03
E, eV per atom: -3.507

Cell lengths 5.7810, 5.7810, 5.7810 Å; angles 119.95, 119.95, 90.01 degrees
Fractional positions:
K1 0.2501 0.7499 0.0000
K2 0.7499 0.2501 0.0000
Mn1 0.0000 0.0000 0.5000
Sn1 0.5000 0.5000 0.5000
H1 0.2203 0.2203 0.4999
H2 0.2198 0.2198 0.9398
H3 0.2200 0.7800 0.5000
H4 0.7800 0.2200 0.5000
H5 0.7802 0.7802 0.0602
H6 0.7797 0.7797 0.5001



(3)
Density functional theory data (PBE) for crystalline YCrP2 at its relaxed geometry.

Properties
Space group: Pmmm (47)
ΔH_f (0 K), eV/atom: -0.613
DOS at the Fermi energy, states/eV per cell: 2.57
E, eV per atom: -7.339

Cell lengths 3.7952, 3.8435, 5.1546 Å; angles 90.00, 90.00, 90.00 degrees
Fractional positions:
Y1 0.0000 0.0000 0.0000
Cr1 0.0000 0.5000 0.5000
P1 0.5000 0.5000 0.2252
P2 0.5000 0.5000 0.7748